Entry 1:
Density functional theory data (PBE-GGA) for crystalline KLiCeF6 at its relaxed geometry.

Structure (POSCAR):
```
KLiCeF6
1.0
5.690 0.000 0.000
-2.845 4.928 0.000
0.000 0.000 11.313
K Li Ce F
2 2 2 12
direct
0.000 0.000 0.000
0.000 0.000 0.500
0.667 0.333 0.250
0.333 0.667 0.750
0.333 0.667 0.250
0.667 0.333 0.750
0.635 0.624 0.148
0.989 0.365 0.148
0.365 0.989 0.648
0.011 0.635 0.852
0.376 0.365 0.352
0.989 0.624 0.352
0.624 0.989 0.852
0.635 0.011 0.352
0.011 0.376 0.648
0.376 0.011 0.148
0.624 0.635 0.648
0.365 0.376 0.852
```

Results
N(E_F): 0.00 states/eV/cell
volume: 317.3 Å³ per cell
final energy: -5.627 eV/atom
energy relative to the elements, uncorrected: -3385 meV per atom
space group: P-31c
total magnetic moment: 0.00 μB/f.u.



Entry 2:
Density functional theory data (PBE-GGA) for crystalline K2LiCeF6 at its relaxed geometry.

Structure (POSCAR):
```
K2LiCeF6
1.0
-4.180 -0.189 4.547
-6.005 0.671 -1.293
-3.823 -4.830 0.484
K Li Ce F
2 1 1 6
direct
0.750 0.750 0.750
0.250 0.250 0.250
0.500 0.500 0.500
0.000 0.000 0.000
0.739 0.261 0.261
0.261 0.261 0.739
0.261 0.739 0.739
0.261 0.739 0.261
0.739 0.261 0.739
0.739 0.739 0.261
```

Results
energy relative to the lowest polymorph listed for this composition: 14 meV/atom
volume: 166.8 Å³ per cell
final energy: -5.373 eV/atom
energy relative to the elements, uncorrected: -3246 meV per atom
space group: Fm-3m
total magnetic moment: 1.00 μB/f.u.